[1]
DFT (PBE) results for a relaxed structure of BaAsH.

Its total energy is -3.835 eV/atom.

Cell lengths 3.8773, 8.7982, 8.7723 Å; angles 90.00, 90.00, 90.00 degrees
Closest atoms and distances in Å follow each position.
Fractional positions:
Ba: 0.0000 0.0000 0.0000  2 H 2.72
Ba: 0.0000 0.0000 0.5000  2 H 2.72
Ba: 0.5000 0.5000 0.0000  2 H 2.72
Ba: 0.5000 0.5000 0.5000  2 H 2.72
As: 0.0000 0.3016 0.2500  2 H 1.94
As: 0.0000 0.6984 0.7500  2 H 1.94
As: 0.5000 0.1984 0.7500  2 H 1.94
As: 0.5000 0.8016 0.2500  2 H 1.94
H: 0.0000 0.1822 0.7500  2 As 1.94
H: 0.0000 0.8178 0.2500  2 As 1.94
H: 0.5000 0.3178 0.2500  2 As 1.94
H: 0.5000 0.6822 0.7500  2 As 1.94

[2]
DFT (PBE) results for a relaxed structure of Li5AgHg3.

The calculation puts the energy of formation from the pure elements at -0.293 eV per atom.

Cell lengths 8.1524, 8.1524, 5.6210 Å; angles 90.00, 90.00, 120.00 degrees
Closest atoms and distances in Å follow each position.
Fractional positions:
Li: 0.0000 0.3013 0.2500  5 Hg 2.72-2.86, 2 Ag 2.83
Li: 0.0000 0.6987 0.7500  5 Hg 2.72-2.86, 2 Ag 2.83
Li: 0.3013 0.0000 0.2500  5 Hg 2.72-2.86, 2 Ag 2.83
Li: 0.3013 0.3013 0.7500  5 Hg 2.72-2.86, 2 Ag 2.83
Li: 0.3333 0.6667 0.0000  2 Li 2.81, 6 Hg 2.95
Li: 0.3333 0.6667 0.5000  2 Li 2.81, 6 Hg 2.95
Li: 0.6667 0.3333 0.0000  2 Li 2.81, 6 Hg 2.95
Li: 0.6667 0.3333 0.5000  2 Li 2.81, 6 Hg 2.95
Li: 0.6987 0.0000 0.7500  5 Hg 2.72-2.86, 2 Ag 2.83
Li: 0.6987 0.6987 0.2500  5 Hg 2.72-2.86, 2 Ag 2.83
Ag: 0.0000 0.0000 0.0000  2 Ag 2.81, 6 Li 2.83
Ag: 0.0000 0.0000 0.5000  2 Ag 2.81, 6 Li 2.83
Hg: 0.0000 0.3647 0.7500  9 Li 2.72-2.95
Hg: 0.0000 0.6353 0.2500  9 Li 2.72-2.95
Hg: 0.3647 0.0000 0.7500  9 Li 2.72-2.95
Hg: 0.3647 0.3647 0.2500  9 Li 2.72-2.95
Hg: 0.6353 0.0000 0.2500  9 Li 2.72-2.95
Hg: 0.6353 0.6353 0.7500  9 Li 2.72-2.95

[3]
DFT (PBE) results for a relaxed structure of Y2HfAg.

The calculation puts the energy of formation from the pure elements at -0.081 eV per atom.

Cell lengths 3.4282, 3.4282, 8.6419 Å; angles 90.00, 90.00, 90.00 degrees
Closest atoms and distances in Å follow each position.
Fractional positions:
Y: 0.0000 0.0000 0.2370  4 Ag 3.17, 4 Hf 3.32, 4 Y 3.43
Y: 0.0000 0.0000 0.7630  4 Ag 3.17, 4 Hf 3.32, 4 Y 3.43
Hf: 0.5000 0.5000 0.5000  8 Y 3.32, 4 Hf 3.43
Ag: 0.5000 0.5000 0.0000  8 Y 3.17, 4 Ag 3.43

[4]
DFT (PBE) results for a relaxed structure of CdSb3S.

The value obtained for the uncorrected formation energy is 1.031 eV/atom.

Cell lengths 5.4677, 5.4677, 5.4677 Å; angles 90.00, 90.00, 90.00 degrees
Closest atoms and distances in Å follow each position.
Fractional positions:
Cd: 0.0000 0.0000 0.0000  6 Sb 2.73
Sb: 0.0000 0.0000 0.5000  2 Cd 2.73
Sb: 0.0000 0.5000 0.0000  2 Cd 2.73
Sb: 0.5000 0.0000 0.0000  2 Cd 2.73
S: 0.5000 0.5000 0.5000  12 Sb 3.87

Going through the records in order, we get density of states at the Fermi level values of 0.08 4.08 3.93 9.12 states/eV/f.u..